# ErScCr2O6 PBE with a Hubbard U optimized geometry
# DFT total energy   -249.30 eV per cell
data_ErScCr2O6
_chemical_formula_sum 'Er3 Sc3 Cr6 O18'
_symmetry_space_group_name_H-M 'R 3'
_symmetry_Int_Tables_number 146
_symmetry_space_group_name_Hall 'R 3'
_cell_length_a 5.3353
_cell_length_b 5.3353
_cell_length_c 13.8772
_cell_angle_alpha 90.00
_cell_angle_beta 90.00
_cell_angle_gamma 120.00
loop_
_atom_site_label
_atom_site_fract_x
_atom_site_fract_y
_atom_site_fract_z
Er1 0.0000 0.0000 0.0000
Sc1 0.0000 0.0000 0.4911
Cr1 0.0000 0.0000 0.2810
Cr2 0.0000 0.0000 0.7835
O1 0.0176 0.3792 0.5426
O2 0.0230 0.6200 0.0453